No. 1
Computed, not measured: an optimized crystal structure of CsNbOs2 at the PBE level of DFT.

Values from the calculation:
E_tot in Ry/atom: -0.4797
Density of states at the Fermi level in states/eV per atom: 0.900
ΔH_f (0 K) in meV/atom: 1819
Size of the total moment in μB/atom: 0.00

Structure (CIF):
```
data_CsNbOs2
_chemical_formula_sum 'Cs4 Nb4 Os8'
_cell_length_a 6.7674
_cell_length_b 6.7674
_cell_length_c 6.7674
_cell_angle_alpha 90.00
_cell_angle_beta 90.00
_cell_angle_gamma 90.00
_space_group_name_H-M_alt 'F m -3 m'
_space_group_IT_number 225
_space_group_name_Hall '-F 4 2 3'
loop_
_atom_site_label
_atom_site_type_symbol
_atom_site_fract_x
_atom_site_fract_y
_atom_site_fract_z
Cs1 Cs 0.0000 0.0000 0.0000
Nb1 Nb 0.0000 0.0000 0.5000
Os1 Os 0.2500 0.2500 0.2500
```

No. 2
Computed, not measured: an optimized crystal structure of Gd3P at the PBE level of DFT.

Values from the calculation:
E_tot in Ry/atom: -0.9171
Density of states at the Fermi level in states/eV per atom: 1.050
ΔH_f (0 K) in meV/atom: -565
Size of the total moment in μB/atom: 1.76

Structure (CIF):
```
data_Gd3P
_chemical_formula_sum 'Gd6 P2'
_cell_length_a 3.6851
_cell_length_b 5.1478
_cell_length_c 11.4321
_cell_angle_alpha 90.00
_cell_angle_beta 90.00
_cell_angle_gamma 90.00
_space_group_name_H-M_alt 'I m m m'
_space_group_IT_number 71
_space_group_name_Hall '-I 2 2'
loop_
_atom_site_label
_atom_site_type_symbol
_atom_site_fract_x
_atom_site_fract_y
_atom_site_fract_z
Gd1 Gd 0.0000 0.0000 0.0000
Gd2 Gd 0.0000 0.5000 0.1916
P1 P 0.0000 0.0000 0.5000
```

No. 3
Computed, not measured: an optimized crystal structure of CsSiSbI2 at the PBE level of DFT.

Values from the calculation:
E_tot in Ry/atom: -0.1232
Density of states at the Fermi level in states/eV per atom: 1.901
Size of the total moment in μB/atom: 0.74
Formation energy without anion corrections in eV/atom: 1.02

Structure (CIF):
```
data_CsSiSbI2
_chemical_formula_sum 'Cs1 Si1 Sb1 I2'
_cell_length_a 7.2062
_cell_length_b 7.2062
_cell_length_c 7.2234
_cell_angle_alpha 90.00
_cell_angle_beta 90.00
_cell_angle_gamma 90.00
_space_group_name_H-M_alt 'P 4/m m m'
_space_group_IT_number 123
_space_group_name_Hall '-P 4 2'
loop_
_atom_site_label
_atom_site_type_symbol
_atom_site_fract_x
_atom_site_fract_y
_atom_site_fract_z
Cs1 Cs 0.0000 0.0000 0.0000
Si1 Si 0.5000 0.5000 0.5000
Sb1 Sb 0.0000 0.0000 0.5000
I1 I 0.0000 0.5000 0.0000
```

No. 4
Computed, not measured: an optimized crystal structure of SrZnAs at the PBE level of DFT.

Values from the calculation:
E_tot in Ry/atom: -0.2178
Density of states at the Fermi level in states/eV per atom: 0.372
ΔH_f (0 K) in meV/atom: -428
Size of the total moment in μB/atom: 0.00

Structure (CIF):
```
data_SrZnAs
_chemical_formula_sum 'Sr4 Zn4 As4'
_cell_length_a 7.0498
_cell_length_b 7.0498
_cell_length_c 7.0498
_cell_angle_alpha 90.00
_cell_angle_beta 90.00
_cell_angle_gamma 90.00
_space_group_name_H-M_alt 'F -4 3 m'
_space_group_IT_number 216
_space_group_name_Hall 'F -4 2 3'
loop_
_atom_site_label
_atom_site_type_symbol
_atom_site_fract_x
_atom_site_fract_y
_atom_site_fract_z
Sr1 Sr 0.0000 0.0000 0.0000
Zn1 Zn 0.0000 0.0000 0.5000
As1 As 0.2500 0.2500 0.7500
```

No. 5
Computed, not measured: an optimized crystal structure of LiFe2Se at the PBE level of DFT.

Values from the calculation:
E_tot in Ry/atom: -0.3895
Density of states at the Fermi level in states/eV per atom: 0.859
Size of the total moment in μB/atom: 1.34
Formation energy without anion corrections in eV/atom: 0.28

Structure (CIF):
```
data_LiFe2Se
_chemical_formula_sum 'Li4 Fe8 Se4'
_cell_length_a 7.1943
_cell_length_b 7.1943
_cell_length_c 4.8661
_cell_angle_alpha 90.00
_cell_angle_beta 90.00
_cell_angle_gamma 90.00
_space_group_name_H-M_alt 'I -4 2 d'
_space_group_IT_number 122
_space_group_name_Hall 'I -4 2bw'
loop_
_atom_site_label
_atom_site_type_symbol
_atom_site_fract_x
_atom_site_fract_y
_atom_site_fract_z
Li1 Li 0.0000 0.0000 0.0000
Fe1 Fe 0.2037 0.2500 0.6250
Se1 Se 0.0000 0.0000 0.5000
```

No. 6
Computed, not measured: an optimized crystal structure of SrZnCr2Ir at the PBE level of DFT.

Values from the calculation:
E_tot in Ry/atom: -0.4249
Density of states at the Fermi level in states/eV per atom: 0.919
ΔH_f (0 K) in meV/atom: 432
Size of the total moment in μB/atom: 1.41

Structure (CIF):
```
data_SrZnCr2Ir
_chemical_formula_sum 'Sr1 Zn1 Cr2 Ir1'
_cell_length_a 4.8504
_cell_length_b 4.8504
_cell_length_c 4.9292
_cell_angle_alpha 90.00
_cell_angle_beta 90.00
_cell_angle_gamma 90.00
_space_group_name_H-M_alt 'P 4/m m m'
_space_group_IT_number 123
_space_group_name_Hall '-P 4 2'
loop_
_atom_site_label
_atom_site_type_symbol
_atom_site_fract_x
_atom_site_fract_y
_atom_site_fract_z
Sr1 Sr 0.0000 0.0000 0.0000
Zn1 Zn 0.5000 0.5000 0.0000
Cr1 Cr 0.0000 0.5000 0.5000
Ir1 Ir 0.5000 0.5000 0.5000
```

No. 7
Computed, not measured: an optimized crystal structure of CuPbW2 at the PBE level of DFT.

Values from the calculation:
E_tot in Ry/atom: -0.5640
Density of states at the Fermi level in states/eV per atom: 0.536
ΔH_f (0 K) in meV/atom: 754
Size of the total moment in μB/atom: 0.00

Structure (CIF):
```
data_CuPbW2
_chemical_formula_sum 'Cu3 Pb3 W6'
_cell_length_a 2.9298
_cell_length_b 2.9298
_cell_length_c 29.2919
_cell_angle_alpha 90.00
_cell_angle_beta 90.00
_cell_angle_gamma 120.00
_space_group_name_H-M_alt 'R 3 m'
_space_group_IT_number 160
_space_group_name_Hall 'R 3 -2"'
loop_
_atom_site_label
_atom_site_type_symbol
_atom_site_fract_x
_atom_site_fract_y
_atom_site_fract_z
Cu1 Cu 0.0000 0.0000 0.0000
Pb1 Pb 0.0000 0.0000 0.7558
W1 W 0.0000 0.0000 0.2619
W2 W 0.0000 0.0000 0.5150
```

No. 8
Computed, not measured: an optimized crystal structure of Ce4InH at the PBE level of DFT.

Values from the calculation:
E_tot in Ry/atom: -0.3743
Density of states at the Fermi level in states/eV per atom: 2.789
Size of the total moment in μB/atom: 0.51

Structure (CIF):
```
data_Ce4InH
_chemical_formula_sum 'Ce16 In4 H4'
_cell_length_a 5.6840
_cell_length_b 6.6233
_cell_length_c 15.1108
_cell_angle_alpha 90.00
_cell_angle_beta 90.00
_cell_angle_gamma 90.00
_space_group_name_H-M_alt 'I m m m'
_space_group_IT_number 71
_space_group_name_Hall '-I 2 2'
loop_
_atom_site_label
_atom_site_type_symbol
_atom_site_fract_x
_atom_site_fract_y
_atom_site_fract_z
Ce1 Ce 0.0000 0.0000 0.2137
Ce2 Ce 0.0000 0.2330 0.0000
Ce3 Ce 0.0000 0.2584 0.3909
In1 In 0.0000 0.5000 0.1856
H1 H 0.1836 0.5000 0.5000
```

No. 9
Computed, not measured: an optimized crystal structure of CrPbBr2 at the PBE level of DFT.

Values from the calculation:
E_tot in Ry/atom: -0.3131
Density of states at the Fermi level in states/eV per atom: 0.458
Size of the total moment in μB/atom: 1.12
Formation energy without anion corrections in eV/atom: -0.09

Structure (CIF):
```
data_CrPbBr2
_chemical_formula_sum 'Cr2 Pb2 Br4'
_cell_length_a 4.8311
_cell_length_b 5.4094
_cell_length_c 8.4270
_cell_angle_alpha 90.00
_cell_angle_beta 90.00
_cell_angle_gamma 90.00
_space_group_name_H-M_alt 'C m m 2'
_space_group_IT_number 35
_space_group_name_Hall 'C 2 -2'
loop_
_atom_site_label
_atom_site_type_symbol
_atom_site_fract_x
_atom_site_fract_y
_atom_site_fract_z
Cr1 Cr 0.0000 0.0000 0.0000
Pb1 Pb 0.0000 0.5000 0.2520
Br1 Br 0.0000 0.0000 0.4880
Br2 Br 0.0000 0.5000 0.8611
```

No. 10
Computed, not measured: an optimized crystal structure of K2TaAg at the PBE level of DFT.

Values from the calculation:
E_tot in Ry/atom: -0.2011
Density of states at the Fermi level in states/eV per atom: 0.942
ΔH_f (0 K) in meV/atom: 1489
Size of the total moment in μB/atom: 1.05

Structure (CIF):
```
data_K2TaAg
_chemical_formula_sum 'K8 Ta4 Ag4'
_cell_length_a 8.2257
_cell_length_b 8.2257
_cell_length_c 8.2257
_cell_angle_alpha 90.00
_cell_angle_beta 90.00
_cell_angle_gamma 90.00
_space_group_name_H-M_alt 'F m -3 m'
_space_group_IT_number 225
_space_group_name_Hall '-F 4 2 3'
loop_
_atom_site_label
_atom_site_type_symbol
_atom_site_fract_x
_atom_site_fract_y
_atom_site_fract_z
K1 K 0.2500 0.2500 0.2500
Ta1 Ta 0.0000 0.0000 0.0000
Ag1 Ag 0.0000 0.0000 0.5000
```

No. 11
Computed, not measured: an optimized crystal structure of NaMnRh2 at the PBE level of DFT.

Values from the calculation:
E_tot in Ry/atom: -0.4249
Density of states at the Fermi level in states/eV per atom: 1.227
ΔH_f (0 K) in meV/atom: 516
Size of the total moment in μB/atom: 0.72

Structure (CIF):
```
data_NaMnRh2
_chemical_formula_sum 'Na4 Mn4 Rh8'
_cell_length_a 7.0706
_cell_length_b 7.0706
_cell_length_c 5.3914
_cell_angle_alpha 90.00
_cell_angle_beta 90.00
_cell_angle_gamma 90.00
_space_group_name_H-M_alt 'I -4 2 d'
_space_group_IT_number 122
_space_group_name_Hall 'I -4 2bw'
loop_
_atom_site_label
_atom_site_type_symbol
_atom_site_fract_x
_atom_site_fract_y
_atom_site_fract_z
Na1 Na 0.0000 0.0000 0.0000
Mn1 Mn 0.0000 0.0000 0.5000
Rh1 Rh 0.2032 0.2500 0.6250
```

No. 12
Computed, not measured: an optimized crystal structure of ZnCuTc2I at the PBE level of DFT.

Values from the calculation:
E_tot in Ry/atom: -0.2757
Density of states at the Fermi level in states/eV per atom: 0.770
Size of the total moment in μB/atom: 0.46
Formation energy without anion corrections in eV/atom: 1.78

Structure (CIF):
```
data_ZnCuTc2I
_chemical_formula_sum 'Zn1 Cu1 Tc2 I1'
_cell_length_a 4.8992
_cell_length_b 4.8992
_cell_length_c 4.6979
_cell_angle_alpha 90.00
_cell_angle_beta 90.00
_cell_angle_gamma 90.00
_space_group_name_H-M_alt 'P 4/m m m'
_space_group_IT_number 123
_space_group_name_Hall '-P 4 2'
loop_
_atom_site_label
_atom_site_type_symbol
_atom_site_fract_x
_atom_site_fract_y
_atom_site_fract_z
Zn1 Zn 0.0000 0.0000 0.0000
Cu1 Cu 0.5000 0.5000 0.0000
Tc1 Tc 0.0000 0.5000 0.5000
I1 I 0.5000 0.5000 0.5000
```

No. 13
Computed, not measured: an optimized crystal structure of PrDy6Er4 at the PBE level of DFT.

Values from the calculation:
E_tot in Ry/atom: -0.3292
Density of states at the Fermi level in states/eV per atom: 1.822
ΔH_f (0 K) in meV/atom: 125
Size of the total moment in μB/atom: 0.00

Structure (CIF):
```
data_PrDy6Er4
_chemical_formula_sum 'Pr4 Dy24 Er16'
_cell_length_a 5.6997
_cell_length_b 9.6041
_cell_length_c 25.6070
_cell_angle_alpha 90.00
_cell_angle_beta 90.00
_cell_angle_gamma 90.00
_space_group_name_H-M_alt 'C m c m'
_space_group_IT_number 63
_space_group_name_Hall '-C 2c 2'
loop_
_atom_site_label
_atom_site_type_symbol
_atom_site_fract_x
_atom_site_fract_y
_atom_site_fract_z
Pr1 Pr 0.0000 0.1924 0.2500
Dy1 Dy 0.0000 0.1375 0.6801
Dy2 Dy 0.0000 0.1937 0.1009
Dy3 Dy 0.0000 0.4729 0.7500
Dy4 Dy 0.0000 0.5000 0.0000
Er1 Er 0.0000 0.1556 0.5420
Er2 Er 0.0000 0.4666 0.6214
```

No. 14
Computed, not measured: an optimized crystal structure of BaMn2Cr at the PBE level of DFT.

Values from the calculation:
E_tot in Ry/atom: -0.4636
Density of states at the Fermi level in states/eV per atom: 1.228
ΔH_f (0 K) in meV/atom: 1164
Size of the total moment in μB/atom: 2.87

Structure (CIF):
```
data_BaMn2Cr
_chemical_formula_sum 'Ba1 Mn2 Cr1'
_cell_length_a 4.3785
_cell_length_b 4.3785
_cell_length_c 4.6839
_cell_angle_alpha 90.00
_cell_angle_beta 90.00
_cell_angle_gamma 90.00
_space_group_name_H-M_alt 'P 4/m m m'
_space_group_IT_number 123
_space_group_name_Hall '-P 4 2'
loop_
_atom_site_label
_atom_site_type_symbol
_atom_site_fract_x
_atom_site_fract_y
_atom_site_fract_z
Ba1 Ba 0.0000 0.0000 0.0000
Mn1 Mn 0.0000 0.5000 0.5000
Cr1 Cr 0.5000 0.5000 0.0000
```